Entry from Alexandria via LeMat-Bulk: NdYGeIr after structural relaxation (PBE).

```
4
Lattice="4.2062 0.0000 0.0000 0.0000 4.1563 0.0000 -2.1031 0.0000 5.3994" Properties=species:S:1:pos:R:3 pbc="T T T"
Ge 2.1031 2.0782 0.7447
Y 2.1031 2.0782 3.9331
Nd 0.0000 0.0000 1.5691
Ir 0.0000 0.0000 4.5520
```

For the formation energy, the calculation gives -797 meV/atom.

=====

Entry from Alexandria via LeMat-Bulk: Y2FeCo2 after structural relaxation (PBE).

```
10
Lattice="6.5018 0.0000 0.0000 0.0000 6.5018 0.0000 0.0000 0.0000 4.2453" Properties=species:S:1:pos:R:3 pbc="T T T"
Co 2.4379 5.6888 0.0000
Y 1.1840 4.4349 2.1227
Y 2.0670 1.1840 2.1227
Fe 0.0000 0.0000 0.0000
Fe 3.2509 3.2509 0.0000
Co 0.8131 2.4379 0.0000
Y 5.3179 2.0670 2.1227
Co 4.0640 0.8131 0.0000
Co 5.6888 4.0640 0.0000
Y 4.4349 5.3179 2.1227
```

For the formation energy, the calculation gives -25 meV/atom.

=====

Entry from Alexandria via LeMat-Bulk: Ba2PmZnO5 after structural relaxation (PBE).

```
18
Lattice="3.6586 0.0000 0.0000 -1.8293 7.5253 0.0000 0.0000 0.0000 11.4625" Properties=species:S:1:pos:R:3 pbc="T T T"
Zn 0.0000 6.9274 4.9860
O 0.0000 0.4375 0.0711
O 0.0000 5.1395 0.0837
Pm 0.0000 2.9121 0.3586
Ba 1.8293 5.4743 9.5504
O 1.8293 3.0766 1.8473
Ba 0.0000 2.0511 3.8192
O 1.8293 2.5946 10.2300
Zn 1.8293 0.5979 10.7172
Pm 1.8293 4.6132 6.0898
O 1.8293 7.0878 5.8023
O 0.0000 4.4488 7.5785
Ba 0.0000 1.6152 7.7856
O 0.0000 4.9307 4.4988
O 1.8293 0.1097 3.1882
O 1.8293 2.3859 5.8149
O 0.0000 7.4156 8.9195
Ba 1.8293 5.9101 2.0543
```

The calculation puts the formation energy (no corrections) at -2000 kJ/mol of formula units.

=====

Entry from Alexandria via LeMat-Bulk: UTa2Rh after structural relaxation (PBE).

```
4
Lattice="-0.3297 -2.7550 -1.1293 3.9329 -1.4936 2.4955 -2.8581 -1.2080 3.7813" Properties=species:S:1:pos:R:3 pbc="T T T"
Rh -0.1648 -1.3775 -0.5647
U 0.3726 -2.7283 2.5737
Ta 1.9664 -0.7468 1.2477
Ta -1.4290 -0.6040 1.8906
```

As for the energy above the most stable polymorph in this dataset: 0 meV/atom. For the formation energy, the calculation gives -6 meV/atom.

=====

Entry from Alexandria via LeMat-Bulk: PbF3 after structural relaxation (PBE).

```
4
Lattice="-1.0153 -3.5416 5.9594 2.7826 -2.8505 5.7637 0.3765 -0.0877 6.9957" Properties=species:S:1:pos:R:3 pbc="T T T"
Pb 0.0000 0.0000 0.0000
F 0.2279 -0.6887 1.9896
F 1.9160 -5.7910 16.7292
F 1.0719 -3.2399 9.3594
```

The calculation puts the formation energy (no corrections) at -218 kJ/mol of formula units.

=====

Entry from Alexandria via LeMat-Bulk: Er6Te3C after structural relaxation (PBE).

```
20
Lattice="-3.2778 0.6384 -5.8556 6.5936 -5.2043 -4.2583 -6.5075 -6.1233 2.9752" Properties=species:S:1:pos:R:3 pbc="T T T"
Er -6.3615 -5.9576 1.5229
Te -0.5974 -1.6569 -3.7956
Te -1.0688 -2.1241 0.2974
C 2.1576 -5.0153 -6.2246
Er 0.5966 -7.2858 -2.2800
C -4.2088 -5.8960 1.1232
Er -3.6378 -3.9405 0.1213
Er 0.5694 -3.7082 -1.8747
Er -3.6102 -7.5691 -0.2898
Er 0.8025 -3.1948 -6.1631
Er -3.1223 -3.5330 -3.6691
Er -6.2052 -5.4542 -2.9105
Er 0.8301 -6.8234 -6.5741
Er -3.0951 -7.1106 -4.0744
Te -1.0140 -9.3400 -0.5201
Te -0.5426 -8.8728 -4.6130
Er 3.0394 -5.2399 -4.1820
Te -1.8417 -5.5470 -1.7992
Te -1.5912 -5.0952 -5.7702
Er 3.6355 -4.8222 -7.8295
```

The calculation puts the formation energy (no corrections) at -655 kJ/mol of formula units.

=====

Entry from Alexandria via LeMat-Bulk: Pr3Nd2Ga4 after structural relaxation (PBE).

```
9
Lattice="-0.8751 2.4497 -3.8568 4.3210 -3.9210 -0.6653 -6.2609 -7.1475 -3.1193" Properties=species:S:1:pos:R:3 pbc="T T T"
Ga -3.4038 -8.2538 -4.4702
Ga 0.5888 -0.3650 -3.1711
Ga 0.3574 -3.9007 -5.3643
Pr -1.9220 -2.2292 -3.7855
Ga -3.1723 -4.7181 -2.2770
Nd -3.9119 -5.2309 -5.2406
Pr 0.0000 0.0000 0.0000
Nd 1.0969 -3.3879 -2.4008
Pr -0.8930 -6.3896 -3.8558
```

As for the energy above the most stable polymorph in this dataset: 64 meV/atom. For the formation energy, the calculation gives -440 meV/atom.

=====

Entry from Alexandria via LeMat-Bulk: NdCuPd after structural relaxation (PBE).

```
3
Lattice="3.6193 0.0000 0.0000 0.0000 3.6193 0.0000 -1.8097 -1.8097 4.6241" Properties=species:S:1:pos:R:3 pbc="T T T"
Nd 1.8097 1.8097 1.0625
Cu 0.0000 0.0000 2.7614
Pd 1.8097 1.8097 4.0371
```

As for the energy above the most stable polymorph in this dataset: 133 meV/atom. For the formation energy, the calculation gives -401 meV/atom.

=====

Entry from Alexandria via LeMat-Bulk: RbPm3Pr2Te6 after structural relaxation (PBE).

```
12
Lattice="-0.1847 4.0001 2.0585 -9.3100 -0.2278 -0.3924 2.2636 -6.3880 7.6923" Properties=species:S:1:pos:R:3 pbc="T T T"
Te -2.3927 -3.0457 5.7039
Pm -6.9391 -1.6125 2.5110
Pm -4.7473 1.8861 0.8330
Te -4.8383 0.4300 3.6545
Te -7.1250 -3.0604 5.3080
Te -4.7336 -2.5341 9.4238
Pr -2.4786 -1.5813 2.8505
Te -0.1061 0.4447 4.0504
Rb -0.0923 2.0001 1.0292
Pr -4.7524 -1.0344 6.5079
Te -2.4975 -0.0816 -0.0654
Pm -0.2919 -1.0032 6.8473
```

The calculation puts the formation energy (no corrections) at -1600 kJ/mol of formula units.

=====

Entry from Alexandria via LeMat-Bulk: TmNi4Ge after structural relaxation (PBE).

```
12
Lattice="-1.8560 -1.0126 3.0130 1.6312 -5.9141 -0.9827 6.9914 1.5024 2.5633" Properties=species:S:1:pos:R:3 pbc="T T T"
Ge 2.6535 -1.4634 3.3910
Ni 2.6919 -5.7474 1.9750
Ni 2.0591 -3.4529 2.3563
Tm 1.6272 -1.2782 0.5728
Ge 4.1132 -3.9608 1.2026
Ni 2.1797 -4.2785 -0.0952
Tm 5.1395 -4.1461 4.0208
Ni 4.7076 -1.9714 2.2373
Ni -0.1124 -3.4633 1.0151
Ni 4.5869 -1.1458 4.6887
Ni 4.0747 0.3231 2.6186
Ni -0.9280 -0.5063 1.5065
```

For the formation energy, the calculation gives -376 meV/atom.

=====

Entry from Alexandria via LeMat-Bulk: Sm2Hg2Pd after structural relaxation (PBE).

```
5
Lattice="3.5828 -0.7767 0.1002 0.7427 3.5199 0.7143 -2.0509 0.4686 9.2847" Properties=species:S:1:pos:R:3 pbc="T T T"
Sm 2.4116 2.8171 2.4633
Hg 2.1566 2.1249 6.1391
Hg 0.1180 1.0868 3.9602
Pd 0.3713 1.7599 0.3572
Sm -0.1370 0.3946 7.6360
```

For the formation energy, the calculation gives -525 meV/atom.

=====

Entry from Alexandria via LeMat-Bulk: PrPbCl after structural relaxation (PBE).

```
3
Lattice="4.0140 0.0000 0.0000 0.0000 5.0298 0.0000 0.0000 -2.5149 4.3559" Properties=species:S:1:pos:R:3 pbc="T T T"
Pr 0.6687 0.0000 0.0000
Pb 2.6757 2.5149 1.4520
Cl 0.6696 0.0000 2.9040
```

The calculation puts the formation energy (no corrections) at -239 kJ/mol of formula units.